Entry 1:
An optimized crystal structure of LaIn3S, computed with PBE.

Energy in eV/atom: -3.46
Magnetic moment in Bohr magnetons per cell: 0.0
Energy above the lowest structure with this stoichiometry in kJ per mole of atoms: 0.0
ΔE_f (raw) in meV per atom: -2

Lattice parameters (Å, degrees): 5.321 5.321 5.321 90.00 90.00 90.00
Atoms (fractional coordinates):
S: 0.000 0.000 0.000
In: 0.000 0.500 0.000
In: 0.000 0.000 0.500
In: 0.500 0.000 0.000
La: 0.500 0.500 0.500


Entry 2:
An optimized crystal structure of LaIn3S, computed with PBE.

Energy in eV/atom: -2.57
Magnetic moment in Bohr magnetons per cell: 0.0
Energy above the lowest structure with this stoichiometry in kJ per mole of atoms: 85.6
ΔE_f (raw) in meV per atom: 885

Lattice parameters (Å, degrees): 6.160 6.160 6.160 90.00 90.00 90.00
Atoms (fractional coordinates):
S: 0.500 0.500 0.500
In: 0.000 0.500 0.000
In: 0.000 0.000 0.500
In: 0.500 0.000 0.000
La: 0.000 0.000 0.000


Entry 3:
An optimized crystal structure of La5In2S12, computed with PBE.

Energy in eV/atom: -5.65
Magnetic moment in Bohr magnetons per cell: 0.9
ΔE_f (raw) in meV per atom: -1458

Lattice parameters (Å, degrees): 7.534 8.503 9.168 101.76 90.00 116.30
Atoms (fractional coordinates):
La: 0.293 0.586 0.652
La: 0.326 0.651 0.200
La: 0.000 0.000 0.500
La: 0.674 0.349 0.800
La: 0.707 0.414 0.348
In: 0.761 0.000 0.000
In: 0.239 0.000 0.000
S: 0.026 0.053 0.201
S: 0.067 0.620 0.938
S: 0.553 0.620 0.938
S: 0.102 0.702 0.439
S: 0.600 0.702 0.439
S: 0.486 0.973 0.805
S: 0.514 0.027 0.195
S: 0.898 0.298 0.561
S: 0.400 0.298 0.561
S: 0.933 0.380 0.062
S: 0.447 0.380 0.062
S: 0.974 0.947 0.799


Entry 4:
An optimized crystal structure of LaInS3, computed with PBE.

Energy in eV/atom: -4.53
Magnetic moment in Bohr magnetons per cell: 2.0
ΔE_f (raw) in meV per atom: -522

Lattice parameters (Å, degrees): 5.571 5.571 5.571 90.00 90.00 90.00
Atoms (fractional coordinates):
S: 0.000 0.500 0.000
S: 0.000 0.000 0.500
S: 0.500 0.000 0.000
In: 0.500 0.500 0.500
La: 0.000 0.000 0.000


Entry 5:
An optimized crystal structure of LaIn3S6, computed with PBE.

Energy in eV/atom: -4.73
Magnetic moment in Bohr magnetons per cell: 0.0
ΔE_f (raw) in meV per atom: -934

Lattice parameters (Å, degrees): 3.954 11.419 11.066 112.76 90.00 90.00
Atoms (fractional coordinates):
La: 0.750 0.058 0.708
La: 0.250 0.942 0.292
In: 0.750 0.447 0.833
In: 0.250 0.553 0.167
In: 0.750 0.703 0.481
In: 0.250 0.297 0.519
In: 0.750 0.170 0.101
In: 0.250 0.830 0.899
S: 0.750 0.451 0.602
S: 0.250 0.549 0.398
S: 0.750 0.925 0.082
S: 0.250 0.075 0.918
S: 0.750 0.394 0.059
S: 0.250 0.606 0.941
S: 0.750 0.734 0.257
S: 0.250 0.266 0.743
S: 0.750 0.106 0.462
S: 0.250 0.894 0.538
S: 0.750 0.795 0.739
S: 0.250 0.205 0.261


Entry 6:
An optimized crystal structure of La5InS8, computed with PBE.

Energy in eV/atom: -6.29
Magnetic moment in Bohr magnetons per cell: 0.0
ΔE_f (raw) in meV per atom: -1972

Lattice parameters (Å, degrees): 7.628 7.628 7.628 109.05 110.33 109.05
Atoms (fractional coordinates):
La: 0.015 0.382 0.129
La: 0.871 0.886 0.253
La: 0.747 0.618 0.632
La: 0.500 0.000 0.500
La: 0.368 0.114 0.985
In: 0.250 0.500 0.750
S: 0.122 0.760 0.036
S: 0.964 0.086 0.724
S: 0.754 0.242 0.362
S: 0.638 0.392 0.880
S: 0.487 0.608 0.246
S: 0.638 0.914 0.878
S: 0.276 0.240 0.362
S: 0.120 0.758 0.513